[1]
Density functional theory data (PBE) for a geometry-optimized NiTe structure.

M_tot ... 0.0 μB/f.u.
Formation energy (no corrections) ... -0.02 eV/atom
D(E_F) ... 10.3 states/eV per cell

The structure in extended XYZ format:
```
8
Lattice="-3.8019 3.8019 3.8019 3.8019 -3.8019 3.8019 3.8019 3.8019 -3.8019" Properties=species:S:1:pos:R:3 pbc="T T T"
Ni 2.8340 2.8340 -2.8340
Ni 2.8340 -2.8340 2.8340
Ni 0.9680 0.9680 0.9680
Ni -2.8340 2.8340 2.8340
Te 1.4438 1.4438 -1.4438
Te 1.4438 -1.4438 1.4438
Te -1.4438 1.4438 1.4438
Te 2.3581 2.3581 2.3581
```



[2]
Density functional theory data (PBE) for a geometry-optimized Ni3Te2 structure.

M_tot ... 0.0 μB/f.u.
Formation energy (no corrections) ... -0.17 eV/atom
D(E_F) ... 9.9 states/eV per cell

The structure in extended XYZ format:
```
10
Lattice="6.1086 0.0000 0.0000 0.0000 3.8123 0.0000 -0.2033 0.0000 7.5667" Properties=species:S:1:pos:R:3 pbc="T T T"
Ni 0.0209 0.9531 0.9353
Ni -0.0223 2.8592 2.8054
Ni 1.6353 2.8592 4.8082
Ni 4.2700 0.9531 2.7585
Ni 5.9276 0.9531 4.7613
Ni 5.8844 2.8592 6.6314
Te 1.5269 0.9531 6.6606
Te 1.6763 0.9531 2.9012
Te 4.2289 2.8592 4.6655
Te 4.3784 2.8592 0.9062
```



[3]
Density functional theory data (PBE) for a geometry-optimized Ni2Te structure.

M_tot ... 0.0 μB/f.u.
Formation energy (no corrections) ... 0.07 eV/atom
D(E_F) ... 7.6 states/eV per cell

The structure in extended XYZ format:
```
6
Lattice="-2.5089 2.5089 3.7496 2.5089 -2.5089 3.7496 2.5089 2.5089 -3.7496" Properties=species:S:1:pos:R:3 pbc="T T T"
Ni 3.4180 0.9090 0.0000
Ni 0.9090 1.5999 0.0000
Ni 1.5999 0.9090 3.7496
Ni -0.9090 1.5999 3.7496
Te 0.0000 0.0000 1.8748
Te 0.0000 0.0000 5.6245
```



[4]
Density functional theory data (PBE) for a geometry-optimized NiTe2 structure.

M_tot ... 0.0 μB/f.u.
Formation energy (no corrections) ... 0.57 eV/atom
D(E_F) ... 11.6 states/eV per cell

The structure in extended XYZ format:
```
12
Lattice="6.5103 0.0000 0.0000 -3.2552 5.6381 0.0000 0.0000 0.0000 11.2843" Properties=species:S:1:pos:R:3 pbc="T T T"
Ni 0.0000 3.7587 1.2001
Ni 0.0000 3.7587 4.4420
Ni 3.2552 1.8794 6.8423
Ni 3.2552 1.8794 10.0842
Te 0.0000 0.0000 0.0000
Te 0.0000 0.0000 5.6421
Te 0.0000 1.8693 2.8211
Te -1.6363 4.7035 2.8211
Te 1.6188 0.9346 8.4632
Te 1.6363 4.7035 2.8211
Te 4.8915 0.9346 8.4632
Te 3.2552 3.7688 8.4632
```



> Which formula does entry 4 have?

NiTe2